{"formula": "Hf2Hg", "functional": "PBE", "state": "optimized geometry", "lattice": [[-3.6031, -1.3205, 4.2589], [-0.4133, 3.4324, 4.5730], [-4.7360, 3.1243, 0.8202]], "species": ["Hf", "Hf", "Hf", "Hf", "Hg", "Hg"], "fractional_positions": [[0.6250, 0.6250, 0.1250], [0.6250, 0.1250, 0.6250], [0.1250, 0.6250, 0.6250], [0.6250, 0.6250, 0.6250], [0.0000, 0.0000, 0.0000], [0.2500, 0.2500, 0.2500]], "e_above_lowest_polymorph_mev_per_atom": 530, "ef_ev_per_atom": 0.41, "density_g_cm3": 13.90, "sg": "Fd-3m (227)"}

***

{"formula": "Tb2AuO4", "functional": "PBE", "state": "optimized geometry", "lattice": [[-3.4547, 5.3112, 2.4866], [5.2380, 1.0251, -4.2237], [-5.7991, -2.6716, -2.3582]], "species": ["Au", "Au", "O", "O", "O", "O", "O", "O", "O", "O", "Tb", "Tb", "Tb", "Tb"], "fractional_positions": [[0.0000, 0.0000, 0.0000], [0.7500, 0.5000, 0.2500], [0.1669, 0.7780, 0.3889], [0.6109, 0.2220, 0.3889], [0.6111, 0.7780, 0.3891], [0.1389, 0.2780, 0.4169], [0.6111, 0.2220, 0.8331], [0.1389, 0.7220, 0.8609], [0.1391, 0.2780, 0.8611], [0.5831, 0.7220, 0.8611], [0.3750, 0.7500, 0.1250], [0.3750, 0.7500, 0.6250], [0.8750, 0.2500, 0.6250], [0.3750, 0.2500, 0.6250]], "total_energy_ev_per_fu": -47.867, "density_g_cm3": 8.62, "sg": "Fd-3m (227)"}